[1]
The following is a DFT calculation (PBEsol) of MoPCO2 after structural relaxation.

a b c (Å): 3.6593 3.6593 5.1216
angles (deg): 90.00 90.00 90.00
Space group P4/mmm (No. 123)
Symmetry-distinct sites (fractional):
Mo (0.0000, 0.0000, 0.0000) [1 per cell]
P (0.0000, 0.0000, 0.5000) [1 per cell]
C (0.5000, 0.5000, 0.5000) [1 per cell]
O (0.0000, 0.5000, 0.0000) [2 per cell]

## Properties
Total energy   -7.295 eV per atom
Volume   69 Å³ per cell
Calculated density   4138 kg/m3
Magnetic moment   0.94 μB/f.u.
ΔE_f (raw)   0.246 eV per atom

=====

[2]
The following is a DFT calculation (PBEsol) of TlMoCO2 after structural relaxation.

a b c (Å): 3.7053 3.7053 5.8895
angles (deg): 90.00 90.00 90.00
Space group P4/mmm (No. 123)
Symmetry-distinct sites (fractional):
Tl (0.0000, 0.0000, 0.0000) [1 per cell]
Mo (0.0000, 0.0000, 0.5000) [1 per cell]
C (0.5000, 0.5000, 0.0000) [1 per cell]
O (0.0000, 0.5000, 0.5000) [2 per cell]

## Properties
Total energy   -6.715 eV per atom
Volume   81 Å³ per cell
Calculated density   7071 kg/m3
Magnetic moment   1.08 μB/f.u.
ΔE_f (raw)   0.193 eV per atom

=====

[3]
The following is a DFT calculation (PBEsol) of Mo2OsC2 after structural relaxation.

a b c (Å): 3.7711 3.7711 8.3163
angles (deg): 90.00 90.00 90.00
Space group I4/mmm (No. 139)
Symmetry-distinct sites (fractional):
Mo (0.0000, 0.0000, 0.1558) [4 per cell]
Os (0.0000, 0.0000, 0.5000) [2 per cell]
C (0.0000, 0.5000, 0.2500) [4 per cell]

## Properties
Total energy   -10.107 eV per atom
Volume   118 Å³ per cell
Calculated density   11405 kg/m3
Magnetic moment   0.00 μB/f.u.
ΔH_f (0 K)   901 meV per atom

=====

[4]
The following is a DFT calculation (PBEsol) of Mo2OsPtC after structural relaxation.

a b c (Å): 4.8648 4.8648 3.5806
angles (deg): 90.00 90.00 90.00
Space group P4/mmm (No. 123)
Symmetry-distinct sites (fractional):
Mo (0.0000, 0.5000, 0.0000) [2 per cell]
Os (0.0000, 0.0000, 0.5000) [1 per cell]
Pt (0.5000, 0.5000, 0.0000) [1 per cell]
C (0.5000, 0.5000, 0.5000) [1 per cell]

## Properties
Total energy   -8.296 eV per atom
Volume   85 Å³ per cell
Calculated density   11546 kg/m3
Magnetic moment   0.00 μB/f.u.
ΔH_f (0 K)   2175 meV per atom

=====

[5]
The following is a DFT calculation (PBEsol) of MoPt2C after structural relaxation.

a b c (Å): 4.9164 4.9164 10.9209
angles (deg): 90.00 90.00 90.00
Space group I-42d (No. 122)
Symmetry-distinct sites (fractional):
Mo (0.0000, 0.0000, 0.0000) [4 per cell]
Pt (0.1676, 0.2500, 0.6250) [8 per cell]
C (0.0000, 0.0000, 0.5000) [4 per cell]

## Properties
Total energy   -7.933 eV per atom
Volume   264 Å³ per cell
Calculated density   12534 kg/m3
Magnetic moment   0.00 μB/f.u.
ΔH_f (0 K)   901 meV per atom

=====

[6]
The following is a DFT calculation (PBEsol) of ReMoC3 after structural relaxation.

a b c (Å): 3.9148 3.9148 3.9148
angles (deg): 90.00 90.00 90.00
Space group Pm-3m (No. 221)
Symmetry-distinct sites (fractional):
Re (0.0000, 0.0000, 0.0000) [1 per cell]
Mo (0.5000, 0.5000, 0.5000) [1 per cell]
C (0.0000, 0.5000, 0.5000) [3 per cell]

## Properties
Total energy   -8.238 eV per atom
Volume   60 Å³ per cell
Calculated density   8806 kg/m3
Magnetic moment   1.81 μB/f.u.
ΔH_f (0 K)   2568 meV per atom

=====

[7]
The following is a DFT calculation (PBEsol) of MoRh3C after structural relaxation.

a b c (Å): 4.5573 4.5573 4.5573
angles (deg): 90.00 90.00 90.00
Space group Pm-3m (No. 221)
Symmetry-distinct sites (fractional):
Mo (0.0000, 0.0000, 0.0000) [1 per cell]
Rh (0.0000, 0.0000, 0.5000) [3 per cell]
C (0.5000, 0.5000, 0.5000) [1 per cell]

## Properties
Total energy   -6.544 eV per atom
Volume   95 Å³ per cell
Calculated density   7310 kg/m3
Magnetic moment   0.00 μB/f.u.
ΔH_f (0 K)   2621 meV per atom

=====

[8]
The following is a DFT calculation (PBEsol) of TcMoRhC2 after structural relaxation.

a b c (Å): 3.9301 3.9301 4.7999
angles (deg): 90.00 90.00 90.00
Space group P4/mmm (No. 123)
Symmetry-distinct sites (fractional):
Tc (0.0000, 0.0000, 0.0000) [1 per cell]
Mo (0.0000, 0.0000, 0.5000) [1 per cell]
Rh (0.5000, 0.5000, 0.0000) [1 per cell]
C (0.0000, 0.5000, 0.5000) [2 per cell]

## Properties
Total energy   -7.881 eV per atom
Volume   74 Å³ per cell
Calculated density   7187 kg/m3
Magnetic moment   0.80 μB/f.u.
ΔH_f (0 K)   2211 meV per atom

=====

[9]
The following is a DFT calculation (PBEsol) of ZrMo2RuC after structural relaxation.

a b c (Å): 4.6899 4.6899 4.5778
angles (deg): 90.00 90.00 90.00
Space group P4/mmm (No. 123)
Symmetry-distinct sites (fractional):
Zr (0.0000, 0.0000, 0.0000) [1 per cell]
Mo (0.0000, 0.5000, 0.0000) [2 per cell]
Ru (0.0000, 0.0000, 0.5000) [1 per cell]
C (0.5000, 0.5000, 0.5000) [1 per cell]

## Properties
Total energy   -7.107 eV per atom
Volume   101 Å³ per cell
Calculated density   6534 kg/m3
Magnetic moment   0.32 μB/f.u.
ΔH_f (0 K)   3382 meV per atom

=====

[10]
The following is a DFT calculation (PBEsol) of MoCS2 after structural relaxation.

a b c (Å): 3.2038 3.2038 18.8852
angles (deg): 90.00 90.00 120.00
Space group R-3m (No. 166, hexagonal axes)
Symmetry-distinct sites (fractional):
Mo (0.0000, 0.0000, 0.0000) [3 per cell]
C (0.0000, 0.0000, 0.5000) [3 per cell]
S (0.0000, 0.0000, 0.4160) [6 per cell]

## Properties
Total energy   -7.109 eV per atom
Volume   168 Å³ per cell
Calculated density   5107 kg/m3
Magnetic moment   0.00 μB/f.u.
ΔE_f (raw)   0.436 eV per atom

=====

[11]
The following is a DFT calculation (PBEsol) of MoCS3 after structural relaxation.

a b c (Å): 4.5901 4.5901 4.5901
angles (deg): 90.00 90.00 90.00
Space group Pm-3m (No. 221)
Symmetry-distinct sites (fractional):
Mo (0.0000, 0.0000, 0.0000) [1 per cell]
C (0.5000, 0.5000, 0.5000) [1 per cell]
S (0.0000, 0.0000, 0.5000) [3 per cell]

## Properties
Total energy   -5.512 eV per atom
Volume   97 Å³ per cell
Calculated density   3505 kg/m3
Magnetic moment   1.58 μB/f.u.
ΔE_f (raw)   1.401 eV per atom

=====

[12]
The following is a DFT calculation (PBEsol) of Sb3MoC after structural relaxation.

a b c (Å): 5.1172 5.1172 5.1172
angles (deg): 90.00 90.00 90.00
Space group Pm-3m (No. 221)
Symmetry-distinct sites (fractional):
Sb (0.0000, 0.0000, 0.5000) [3 per cell]
Mo (0.0000, 0.0000, 0.0000) [1 per cell]
C (0.5000, 0.5000, 0.5000) [1 per cell]

## Properties
Total energy   -5.281 eV per atom
Volume   134 Å³ per cell
Calculated density   5864 kg/m3
Magnetic moment   1.75 μB/f.u.
ΔE_f (raw)   1.735 eV per atom

=====

[13]
The following is a DFT calculation (PBEsol) of Sb2TeMoC after structural relaxation.

a b c (Å): 4.5618 4.5618 4.6566
angles (deg): 90.00 90.00 90.00
Space group P4/mmm (No. 123)
Symmetry-distinct sites (fractional):
Sb (0.0000, 0.5000, 0.0000) [2 per cell]
Te (0.0000, 0.0000, 0.5000) [1 per cell]
Mo (0.5000, 0.5000, 0.5000) [1 per cell]
C (0.0000, 0.0000, 0.0000) [1 per cell]

## Properties
Total energy   -5.554 eV per atom
Volume   97 Å³ per cell
Calculated density   8209 kg/m3
Magnetic moment   1.91 μB/f.u.
ΔE_f (raw)   1.257 eV per atom

=====

[14]
The following is a DFT calculation (PBEsol) of ScMo3C after structural relaxation.

a b c (Å): 4.4825 4.4825 4.4825
angles (deg): 90.00 90.00 90.00
Space group Pm-3m (No. 221)
Symmetry-distinct sites (fractional):
Sc (0.0000, 0.0000, 0.0000) [1 per cell]
Mo (0.0000, 0.0000, 0.5000) [3 per cell]
C (0.5000, 0.5000, 0.5000) [1 per cell]

## Properties
Total energy   -6.985 eV per atom
Volume   90 Å³ per cell
Calculated density   6357 kg/m3
Magnetic moment   0.00 μB/f.u.
ΔH_f (0 K)   3325 meV per atom

=====

[15]
The following is a DFT calculation (PBEsol) of ScMo3C after structural relaxation.

a b c (Å): 4.1862 4.1862 4.1862
angles (deg): 90.00 90.00 90.00
Space group Pm-3m (No. 221)
Symmetry-distinct sites (fractional):
Sc (0.0000, 0.0000, 0.0000) [1 per cell]
Mo (0.0000, 0.5000, 0.5000) [3 per cell]
C (0.5000, 0.5000, 0.5000) [1 per cell]

## Properties
Total energy   -10.291 eV per atom
Volume   73 Å³ per cell
Calculated density   7805 kg/m3
Magnetic moment   0.00 μB/f.u.
ΔH_f (0 K)   20 meV per atom

=====

[16]
The following is a DFT calculation (PBEsol) of TlMo2CSe after structural relaxation.

a b c (Å): 5.2257 5.2257 3.8754
angles (deg): 90.00 90.00 90.00
Space group P4/mmm (No. 123)
Symmetry-distinct sites (fractional):
Tl (0.0000, 0.0000, 0.0000) [1 per cell]
Mo (0.0000, 0.5000, 0.0000) [2 per cell]
C (0.0000, 0.0000, 0.5000) [1 per cell]
Se (0.5000, 0.5000, 0.5000) [1 per cell]

## Properties
Total energy   -5.177 eV per atom
Volume   106 Å³ per cell
Calculated density   7645 kg/m3
Magnetic moment   4.93 μB/f.u.
ΔE_f (raw)   2.755 eV per atom

=====

[17]
The following is a DFT calculation (PBEsol) of SiMoC3 after structural relaxation.

a b c (Å): 4.0421 4.0421 4.0421
angles (deg): 90.00 90.00 90.00
Space group Pm-3m (No. 221)
Symmetry-distinct sites (fractional):
Si (0.0000, 0.0000, 0.0000) [1 per cell]
Mo (0.5000, 0.5000, 0.5000) [1 per cell]
C (0.0000, 0.5000, 0.5000) [3 per cell]

## Properties
Total energy   -7.193 eV per atom
Volume   66 Å³ per cell
Calculated density   4025 kg/m3
Magnetic moment   0.00 μB/f.u.
ΔE_f (raw)   2.096 eV per atom

=====

[18]
The following is a DFT calculation (PBEsol) of SiMoC3 after structural relaxation.

a b c (Å): 3.6616 3.6616 3.6616
angles (deg): 90.00 90.00 90.00
Space group Pm-3m (No. 221)
Symmetry-distinct sites (fractional):
Si (0.0000, 0.0000, 0.0000) [1 per cell]
Mo (0.5000, 0.5000, 0.5000) [1 per cell]
C (0.0000, 0.0000, 0.5000) [3 per cell]

## Properties
Total energy   -7.373 eV per atom
Volume   49 Å³ per cell
Calculated density   5414 kg/m3
Magnetic moment   0.01 μB/f.u.
ΔE_f (raw)   1.916 eV per atom

=====

[19]
The following is a DFT calculation (PBEsol) of Sm2Mo2C3 after structural relaxation.

a b c (Å): 11.2911 3.4094 5.7607
angles (deg): 90.00 106.47 90.00
Space group C2/m (No. 12)
Symmetry-distinct sites (fractional):
Sm (0.1116, 0.0000, 0.3243) [4 per cell]
Mo (0.1522, 0.5000, 0.8816) [4 per cell]
C (0.0000, 0.5000, 0.0000) [2 per cell]
C (0.2265, 0.0000, 0.7666) [4 per cell]

## Properties
Total energy   -9.255 eV per atom
Volume   213 Å³ per cell
Calculated density   8255 kg/m3
Magnetic moment   0.00 μB/f.u.
ΔH_f (0 K)   -305 meV per atom

=====

[20]
The following is a DFT calculation (PBEsol) of SrMo3C after structural relaxation.

a b c (Å): 4.3075 4.3075 4.3075
angles (deg): 90.00 90.00 90.00
Space group Pm-3m (No. 221)
Symmetry-distinct sites (fractional):
Sr (0.0000, 0.0000, 0.0000) [1 per cell]
Mo (0.0000, 0.5000, 0.5000) [3 per cell]
C (0.5000, 0.5000, 0.5000) [1 per cell]

## Properties
Total energy   -8.636 eV per atom
Volume   80 Å³ per cell
Calculated density   8050 kg/m3
Magnetic moment   0.00 μB/f.u.
ΔH_f (0 K)   722 meV per atom